A plane-wave DFT calculation with PBE was carried out for an optimized crystal structure of MnBeAs2.

## Properties
M_tot (μB/f.u.): 1.852
E above lowest polymorph (eV per atom): 0.113
D(E_F) (states/eV/f.u.): 1.7

Lattice parameters (Å, degrees): 6.421 6.421 6.421 148.63 152.31 42.33
Each line ends with the local moment (μB).
Atoms (fractional coordinates):
Mn 0.679 0.179 0.500  2.07
As 0.012 0.012 0.000  -0.07
As 0.261 0.761 0.500  -0.10
Be 0.549 0.549 0.000  -0.03